Record 1
Here is a relaxed BeCrNi crystal from the Alexandria database. Energies are from PBE.

Unit cell a=5.204 b=5.204 c=5.204 alpha=90.00 beta=90.00 gamma=90.00
Space group F-43m (No. 216)
One atom of each set of equivalent atoms:
Be 0.000 0.000 0.000 x4
Cr 0.000 0.000 0.500 x4
Ni 0.250 0.250 0.250 x4

## Properties
- E above lowest polymorph: 470.6 meV per atom

=====

Record 2
Here is a relaxed Pr3Ga2Pb2 crystal from the Alexandria database. Energies are from PBE.

Unit cell a=11.798 b=4.478 c=8.313 alpha=90.00 beta=114.32 gamma=90.00
Space group C2/m (No. 12)
One atom of each set of equivalent atoms:
Pr 0.000 0.000 0.000 x2
Pr 0.176 0.000 0.643 x4
Ga 0.210 0.500 0.922 x4
Pb 0.040 0.500 0.322 x4

=====

Record 3
Here is a relaxed CoBPt2Pb crystal from the Alexandria database. Energies are from PBE.

Unit cell a=4.824 b=4.824 c=3.781 alpha=90.00 beta=90.00 gamma=90.00
Space group P4/mmm (No. 123)
One atom of each set of equivalent atoms:
Co 0.000 0.000 0.000 x1
B 0.000 0.000 0.500 x1
Pt 0.000 0.500 0.000 x2
Pb 0.500 0.500 0.500 x1

=====

Record 4
Here is a relaxed Ba3YBi crystal from the Alexandria database. Energies are from PBE.

Unit cell a=6.744 b=6.744 c=6.744 alpha=90.00 beta=90.00 gamma=90.00
Space group Pm-3m (No. 221)
One atom of each set of equivalent atoms:
Ba 0.000 0.000 0.500 x3
Y 0.500 0.500 0.500 x1
Bi 0.000 0.000 0.000 x1

## Properties
- E above lowest polymorph: 0.0 meV per atom

=====

no.,D(E_F) (states/eV per atom),DFT total energy (eV/atom)
1,0.007,-6.069
2,0.798,-4.556
3,1.036,-5.257
4,2.177,-3.147